A geometry-optimized CsTl3Rh structure, computed with PBE.

```
CsTl3Rh
1.0
3.4132 0.0000 0.0000
0.0000 3.6672 6.3346
0.0000 -3.6672 6.3346
Cs Tl Rh
1 3 1
direct
0.0000 0.0000 0.0000
0.0000 0.5275 0.9443
0.0000 0.9443 0.5275
0.5000 0.4874 0.4874
0.5000 0.2724 0.2724
```

Output
magnetic moment: 0.00 μB per formula unit
E_form: 0.125 eV/atom
SG: Amm2, No. 38

---

A geometry-optimized Tb6Dy2Er3 structure, computed with PBE.

```
Tb6Dy2Er3
1.0
-2.3471 2.3471 16.5209
2.3471 -2.3471 16.5209
2.3471 2.3471 -16.5209
Tb Dy Er
6 2 3
direct
0.1211 0.6211 0.5000
0.1974 0.1974 0.0000
0.3789 0.8789 0.5000
0.6211 0.1211 0.5000
0.8026 0.8026 0.0000
0.8789 0.3789 0.5000
0.0458 0.0458 0.0000
0.9542 0.9542 0.0000
0.3007 0.3007 0.0000
0.5000 0.5000 0.0000
0.6993 0.6993 0.0000
```

Output
magnetic moment: 0.00 μB per formula unit
E_form: 0.292 eV/atom
SG: I4/mmm, No. 139

---

A geometry-optimized Cs3Sr2RuO6 structure, computed with PBE.

```
Cs3Sr2RuO6
1.0
3.1352 -5.4298 0.0000
3.1352 5.4298 0.0000
-2.0389 0.0000 6.7318
Cs Sr Ru O
3 2 1 6
direct
0.0000 0.0000 0.0000
0.3344 0.6656 0.0000
0.6656 0.3344 0.0000
0.1667 0.8333 0.5000
0.8333 0.1667 0.5000
0.5000 0.5000 0.5000
0.1715 0.4440 0.3335
0.2824 0.2824 0.6721
0.4440 0.1715 0.3335
0.5560 0.8285 0.6665
0.7176 0.7176 0.3279
0.8285 0.5560 0.6665
```

Output
magnetic moment: 3.00 μB per formula unit
ΔE_f (raw): -159 kJ/mol of atoms
SG: C2/m, No. 12

---

A geometry-optimized Ce2YHfP4 structure, computed with PBE.

```
Ce2YHfP4
1.0
6.8591 0.0000 0.0000
0.0000 3.9561 0.0000
-2.2757 0.0000 6.4746
Ce Y Hf P
2 1 1 4
direct
0.0000 0.0000 0.0000
0.0000 0.5000 0.5000
0.5000 0.0000 0.5000
0.5000 0.5000 0.0000
0.2615 0.5000 0.2430
0.2682 0.0000 0.7659
0.7318 0.0000 0.2341
0.7385 0.5000 0.7570
```

Output
magnetic moment: 0.71 μB per formula unit
E_form: -1.481 eV/atom
SG: P2/m, No. 10